Computed, not measured: a geometry-optimized Li2Mg3Cd3Cu structure at the PBE level of DFT.

Results
- density (g cm⁻³) = 4.7
- space-group type = P-62m, No. 189
- D(E_F) (states/eV/atom) = 0.43
- total magnetization (μB per formula unit) = 0.00
- energy of formation (eV per formula unit) = -1.21

Unit cell a=8.072 b=8.072 c=3.030 alpha=90.00 beta=90.00 gamma=120.00
Element x y z (fractional)
Li  0.333  0.667  0.000
Li  0.667  0.333  0.000
Mg  0.000  0.716  0.000
Mg  0.284  0.284  0.000
Mg  0.716  0.000  0.000
Cd  0.000  0.366  0.500
Cd  0.366  0.000  0.500
Cd  0.634  0.634  0.500
Cu  0.000  0.000  0.500

=====

Computed, not measured: a geometry-optimized NaLiCd2Cu structure at the PBE level of DFT.

Results
- density (g cm⁻³) = 4.3
- space-group type = P4/mmm, No. 123
- D(E_F) (states/eV/atom) = 0.38
- total magnetization (μB per formula unit) = 0.00
- energy of formation (eV per formula unit) = 0.21

Unit cell a=5.059 b=5.059 c=4.798 alpha=90.00 beta=90.00 gamma=90.00
Element x y z (fractional)
Na  0.000  0.000  0.000
Li  0.500  0.500  0.000
Cd  0.000  0.500  0.500
Cd  0.500  0.000  0.500
Cu  0.500  0.500  0.500

=====

Computed, not measured: a geometry-optimized NaLiCdCu structure at the PBE level of DFT.

Results
- density (g cm⁻³) = 4.6
- space-group type = F-43m, No. 216
- D(E_F) (states/eV/atom) = 0.44
- total magnetization (μB per formula unit) = 0.00
- energy of formation (eV per formula unit) = 0.08

Unit cell a=4.724 b=4.724 c=4.724 alpha=60.00 beta=60.00 gamma=60.00
Element x y z (fractional)
Na  0.000  0.000  0.000
Li  0.750  0.750  0.750
Cd  0.500  0.500  0.500
Cu  0.250  0.250  0.250

=====

Computed, not measured: a geometry-optimized NaLi2CdCu structure at the PBE level of DFT.

Results
- density (g cm⁻³) = 3.0
- space-group type = P4/mmm, No. 123
- D(E_F) (states/eV/atom) = 0.52
- total magnetization (μB per formula unit) = 0.00
- energy of formation (eV per formula unit) = 0.35

Unit cell a=4.835 b=4.835 c=5.059 alpha=90.00 beta=90.00 gamma=90.00
Element x y z (fractional)
Na  0.000  0.000  0.000
Li  0.000  0.500  0.500
Li  0.500  0.000  0.500
Cd  0.500  0.500  0.000
Cu  0.500  0.500  0.500